1.
Compound: LiNbCuBi
Source: OQMD
Functional: PBE-GGA
Structure: relaxed

VASP energy = -0.329 Ry/atom

Geometry as CIF:
```
data_LiNbCuBi
_symmetry_space_group_name_H-M 'P 1'
_symmetry_Int_Tables_number 1
_cell_length_a 4.7040
_cell_length_b 4.7040
_cell_length_c 4.7040
_cell_angle_alpha 60.00
_cell_angle_beta 60.00
_cell_angle_gamma 60.00
loop_
_symmetry_equiv_pos_as_xyz
'x,y,z'
loop_
_atom_site_label
_atom_site_type_symbol
_atom_site_fract_x
_atom_site_fract_y
_atom_site_fract_z
Cu1 Cu 0.7500 0.7500 0.7500
Bi1 Bi 0.0000 0.0000 0.0000
Nb1 Nb 0.2500 0.2500 0.2500
Li1 Li 0.5000 0.5000 0.5000
```



2.
Compound: LiNbCuBi
Source: OQMD
Functional: PBE-GGA
Structure: relaxed

VASP energy = -0.331 Ry/atom

Geometry as CIF:
```
data_LiNbCuBi
_symmetry_space_group_name_H-M 'P 1'
_symmetry_Int_Tables_number 1
_cell_length_a 4.6581
_cell_length_b 4.6581
_cell_length_c 4.6581
_cell_angle_alpha 60.00
_cell_angle_beta 60.00
_cell_angle_gamma 60.00
loop_
_symmetry_equiv_pos_as_xyz
'x,y,z'
loop_
_atom_site_label
_atom_site_type_symbol
_atom_site_fract_x
_atom_site_fract_y
_atom_site_fract_z
Li1 Li 0.2500 0.2500 0.2500
Bi1 Bi 0.0000 0.0000 0.0000
Nb1 Nb 0.5000 0.5000 0.5000
Cu1 Cu 0.7500 0.7500 0.7500
```



3.
Compound: LiCuNiBi
Source: OQMD
Functional: PBE-GGA
Structure: relaxed

VASP energy = -0.282 Ry/atom

Geometry as CIF:
```
data_LiCuNiBi
_symmetry_space_group_name_H-M 'P 1'
_symmetry_Int_Tables_number 1
_cell_length_a 4.4436
_cell_length_b 4.4436
_cell_length_c 4.4436
_cell_angle_alpha 60.00
_cell_angle_beta 60.00
_cell_angle_gamma 60.00
loop_
_symmetry_equiv_pos_as_xyz
'x,y,z'
loop_
_atom_site_label
_atom_site_type_symbol
_atom_site_fract_x
_atom_site_fract_y
_atom_site_fract_z
Bi1 Bi 0.2500 0.2500 0.2500
Cu1 Cu 0.0000 0.0000 0.0000
Ni1 Ni 0.5000 0.5000 0.5000
Li1 Li 0.7500 0.7500 0.7500
```



4.
Compound: LiCuNiBi
Source: OQMD
Functional: PBE-GGA
Structure: relaxed

VASP energy = -0.285 Ry/atom

Geometry as CIF:
```
data_LiCuNiBi
_symmetry_space_group_name_H-M 'P 1'
_symmetry_Int_Tables_number 1
_cell_length_a 4.3889
_cell_length_b 4.3889
_cell_length_c 4.3889
_cell_angle_alpha 60.00
_cell_angle_beta 60.00
_cell_angle_gamma 60.00
loop_
_symmetry_equiv_pos_as_xyz
'x,y,z'
loop_
_atom_site_label
_atom_site_type_symbol
_atom_site_fract_x
_atom_site_fract_y
_atom_site_fract_z
Bi1 Bi 0.2500 0.2500 0.2500
Ni1 Ni 0.0000 0.0000 0.0000
Li1 Li 0.5000 0.5000 0.5000
Cu1 Cu 0.7500 0.7500 0.7500
```



5.
Compound: LiCuBiOs
Source: OQMD
Functional: PBE-GGA
Structure: relaxed

VASP energy = -0.347 Ry/atom

Geometry as CIF:
```
data_LiCuBiOs
_symmetry_space_group_name_H-M 'P 1'
_symmetry_Int_Tables_number 1
_cell_length_a 4.5141
_cell_length_b 4.5141
_cell_length_c 4.5141
_cell_angle_alpha 60.00
_cell_angle_beta 60.00
_cell_angle_gamma 60.00
loop_
_symmetry_equiv_pos_as_xyz
'x,y,z'
loop_
_atom_site_label
_atom_site_type_symbol
_atom_site_fract_x
_atom_site_fract_y
_atom_site_fract_z
Bi1 Bi 0.0000 0.0000 0.0000
Os1 Os 0.2500 0.2500 0.2500
Li1 Li 0.5000 0.5000 0.5000
Cu1 Cu 0.7500 0.7500 0.7500
```



6.
Compound: LiCuBiOs
Source: OQMD
Functional: PBE-GGA
Structure: relaxed

VASP energy = -0.342 Ry/atom

Geometry as CIF:
```
data_LiCuBiOs
_symmetry_space_group_name_H-M 'P 1'
_symmetry_Int_Tables_number 1
_cell_length_a 4.4767
_cell_length_b 4.4767
_cell_length_c 4.4767
_cell_angle_alpha 60.00
_cell_angle_beta 60.00
_cell_angle_gamma 60.00
loop_
_symmetry_equiv_pos_as_xyz
'x,y,z'
loop_
_atom_site_label
_atom_site_type_symbol
_atom_site_fract_x
_atom_site_fract_y
_atom_site_fract_z
Li1 Li 0.2500 0.2500 0.2500
Os1 Os 0.5000 0.5000 0.5000
Bi1 Bi 0.0000 0.0000 0.0000
Cu1 Cu 0.7500 0.7500 0.7500
```



Number 1: energy relative to the lowest polymorph listed for this composition 32 meV per atom, V 73.60 Å³ per cell. Number 2: energy relative to the lowest polymorph listed for this composition 0 meV per atom, V 71.47 Å³ per cell. Number 3: energy relative to the lowest polymorph listed for this composition 39 meV per atom, V 62.04 Å³ per cell. Number 4: energy relative to the lowest polymorph listed for this composition 0 meV per atom, V 59.78 Å³ per cell. Number 5: energy relative to the lowest polymorph listed for this composition 0 meV per atom, V 65.04 Å³ per cell. Number 6: energy relative to the lowest polymorph listed for this composition 78 meV per atom, V 63.44 Å³ per cell.